CsPaMo2O8: optimized geometry, GGA+U.

POSCAR file:
```
CsPaMo2O8
1.0
6.108 0.000 0.000
-3.054 5.290 0.000
0.000 0.000 8.507
Cs Pa Mo O
1 1 2 8
Cartesian
0.000 0.000 4.254
0.000 0.000 0.000
0.000 3.526 6.541
3.054 1.763 1.966
0.000 1.759 7.208
-1.531 4.410 7.208
1.531 4.410 7.208
1.523 0.879 1.300
3.054 1.763 3.728
0.000 3.526 4.779
3.054 3.531 1.300
4.585 0.879 1.300
```

Properties
- DOS(E_F) (states/eV/f.u.) = 7.43
- raw total energy (eV/atom) = -7.4985